VReTeN2 GGA-PBE relaxed; ΔE_f (raw) = 615 meV per atom; space-group type = P4/mmm, No. 123; final energy = -0.2814 hartree per atom; distance to the lowest polymorph of the same formula = 0.0 kJ/mol of atoms
1.0
3.8791 0.0000 0.0000
0.0000 3.8791 0.0000
0.0000 0.0000 5.7850
V Re Te N
1 1 1 2
direct
0.0000 0.0000 0.0000
0.5000 0.5000 0.5000
0.5000 0.5000 0.0000
0.0000 0.5000 0.5000
0.5000 0.0000 0.5000